[1]
The following is a DFT calculation (PBE) of crystalline Rb3TiTe4 at its relaxed geometry.

Results
The value obtained for the raw formation energy is -0.8527 eV per atom.

Cell: 6.5377 15.2896 7.4562 Å, 90.00 90.00 90.00°
Space group Imm2 (No. 44)
Inequivalent atoms, fractional coordinates:
Rb (0.0000, 0.0000, 0.0000) [2 per cell]
Rb (0.0000, 0.2858, 0.8831) [4 per cell]
Ti (0.0000, 0.5000, 0.2163) [2 per cell]
Te (0.0000, 0.3538, 0.3999) [4 per cell]
Te (0.2347, 0.0000, 0.4553) [4 per cell]

***

[2]
The following is a DFT calculation (PBE) of crystalline AlFe2Co at its relaxed geometry.

Results
For the formation energy, the calculation gives -0.0092 eV/atom.

Cell: 2.5969 2.5969 24.4278 Å, 90.00 90.00 120.00°
Space group R-3m (No. 166, hexagonal axes)
Inequivalent atoms, fractional coordinates:
Al (0.0000, 0.0000, 0.0000) [3 per cell]
Fe (0.0000, 0.0000, 0.2484) [6 per cell]
Co (0.0000, 0.0000, 0.5000) [3 per cell]

***

[3]
The following is a DFT calculation (PBE) of crystalline AcPr2NpN4 at its relaxed geometry.

Results
The value obtained for the raw formation energy is -0.9636 eV per atom.

Cell: 3.7041 12.6334 12.9581 Å, 90.00 90.00 90.00°
Space group Cmcm (No. 63)
Inequivalent atoms, fractional coordinates:
Ac (0.0000, 0.1197, 0.2500) [4 per cell]
Pr (0.0000, 0.3715, 0.0312) [8 per cell]
Np (0.0000, 0.1482, 0.7500) [4 per cell]
N (0.0000, 0.0000, 0.0000) [4 per cell]
N (0.0000, 0.2653, 0.6264) [8 per cell]
N (0.0000, 0.4536, 0.2500) [4 per cell]

***

[4]
The following is a DFT calculation (PBE) of crystalline FePb at its relaxed geometry.

Results
For the formation energy, the calculation gives 0.3924 eV/atom.

Cell: 4.2525 8.4020 7.0009 Å, 90.00 90.00 90.00°
Space group Amm2 (No. 38)
Inequivalent atoms, fractional coordinates:
Fe (0.0000, 0.0000, 0.0000) [2 per cell]
Fe (0.5000, 0.1480, 0.9715) [4 per cell]
Pb (0.0000, 0.1987, 0.6847) [4 per cell]
Pb (0.5000, 0.0000, 0.3514) [2 per cell]

***

[5]
The following is a DFT calculation (PBE) of crystalline Nd2Y3Tm2 at its relaxed geometry.

Results
The energy above the most stable polymorph in this dataset is 101.0 meV per atom. For the formation energy, the calculation gives 0.2281 eV/atom.

Cell: 9.7805 9.7805 9.7805 Å, 90.00 90.00 90.00°
Space group I2_13 (No. 199)
Inequivalent atoms, fractional coordinates:
Nd (0.0952, 0.4048, 0.5952) [8 per cell]
Y (0.0000, 0.2500, 0.9409) [12 per cell]
Tm (0.2046, 0.2046, 0.2046) [8 per cell]

***

[6]
The following is a DFT calculation (PBE) of crystalline BeNbAl at its relaxed geometry.

Results
The energy above the most stable polymorph in this dataset is 365.4 meV per atom. For the formation energy, the calculation gives 0.0111 eV/atom.

Cell: 7.0981 8.1325 12.2025 Å, 90.00 90.00 90.00°
Space group Fddd (No. 70, origin choice 2)
Inequivalent atoms, fractional coordinates:
Be (0.1250, 0.2557, 0.1250) [16 per cell]
Nb (0.0000, 0.0000, 0.5000) [16 per cell]
Al (0.1250, 0.1250, 0.2937) [16 per cell]

***

[7]
The following is a DFT calculation (PBE) of crystalline BeHg2As2 at its relaxed geometry.

Results
For the formation energy, the calculation gives 0.1400 eV/atom.

Cell: 6.1205 6.1205 5.7157 Å, 90.00 90.00 90.00°
Space group P4/mbm (No. 127)
Inequivalent atoms, fractional coordinates:
Be (0.0000, 0.0000, 0.0000) [2 per cell]
Hg (0.1831, 0.3169, 0.5000) [4 per cell]
As (0.1443, 0.3557, 0.0000) [4 per cell]

***

[8]
The following is a DFT calculation (PBE) of crystalline Dy3Y8Pu at its relaxed geometry.

Results
For the formation energy, the calculation gives 0.6100 eV/atom.

Cell: 8.6352 8.6352 11.4427 Å, 90.00 90.00 90.00°
Space group I-42m (No. 121)
Inequivalent atoms, fractional coordinates:
Dy (0.0000, 0.0000, 0.0000) [2 per cell]
Dy (0.0000, 0.5000, 0.2500) [4 per cell]
Y (0.1270, 0.1270, 0.2664) [8 per cell]
Y (0.2316, 0.2316, 0.5308) [8 per cell]
Pu (0.0000, 0.0000, 0.5000) [2 per cell]

***

[9]
The following is a DFT calculation (PBE) of crystalline YErHgPb at its relaxed geometry.

Results
The energy above the most stable polymorph in this dataset is 8.8 meV per atom. For the formation energy, the calculation gives -0.4510 eV/atom.

Cell: 7.5327 7.5327 7.5327 Å, 90.00 90.00 90.00°
Space group F-43m (No. 216)
Inequivalent atoms, fractional coordinates:
Y (0.0000, 0.0000, 0.0000) [4 per cell]
Er (0.0000, 0.0000, 0.5000) [4 per cell]
Hg (0.2500, 0.2500, 0.7500) [4 per cell]
Pb (0.2500, 0.2500, 0.2500) [4 per cell]

***

[10]
The following is a DFT calculation (PBE) of crystalline Sr4CdPt at its relaxed geometry.

Results
The energy above the most stable polymorph in this dataset is 23.4 meV per atom. For the formation energy, the calculation gives -0.3907 eV/atom.

Cell: 7.2720 8.0449 9.5260 Å, 73.46 67.62 89.99°
Space group P-1 (No. 2)
Inequivalent atoms, fractional coordinates:
Sr (0.9996, 0.0309, 0.1896) [2 per cell]
Sr (0.1899, 0.4687, 0.8107) [2 per cell]
Sr (0.2403, 0.3593, 0.3603) [2 per cell]
Sr (0.3988, 0.8592, 0.3608) [2 per cell]
Cd (0.3277, 0.7502, 0.9999) [2 per cell]
Pt (0.0000, 0.0000, 0.5000) [1 per cell]
Pt (0.5000, 0.5000, 0.5000) [1 per cell]

***

[11]
The following is a DFT calculation (PBE) of crystalline CsPmCl3 at its relaxed geometry.

Results
The energy above the most stable polymorph in this dataset is 0.0 meV per atom. The value obtained for the raw formation energy is -1.9379 eV per atom.

Cell: 5.5304 5.5304 5.5304 Å, 90.00 90.00 90.00°
Space group Pm-3m (No. 221)
Inequivalent atoms, fractional coordinates:
Cs (0.0000, 0.0000, 0.0000) [1 per cell]
Pm (0.5000, 0.5000, 0.5000) [1 per cell]
Cl (0.0000, 0.5000, 0.5000) [3 per cell]

***

[12]
The following is a DFT calculation (PBE) of crystalline TmFe2Si2 at its relaxed geometry.

Results
The value obtained for the raw formation energy is -0.6811 eV per atom.

Cell: 3.9309 3.9309 9.4508 Å, 90.00 90.00 90.00°
Space group I4/mmm (No. 139)
Inequivalent atoms, fractional coordinates:
Tm (0.0000, 0.0000, 0.0000) [2 per cell]
Fe (0.0000, 0.5000, 0.2500) [4 per cell]
Si (0.0000, 0.0000, 0.3679) [4 per cell]

***

no.,final energy (eV per atom)
1,-3.773
2,-6.953
3,-8.452
4,-5.693
5,-5.182
6,-5.835
7,-2.586
8,-6.044
9,-4.210
10,-2.671
11,-4.167
12,-7.130